Here is crystalline LaB2Pt6 at its relaxed geometry from Alexandria via LeMat-Bulk. Energies are from PBE.

Properties
- formation enthalpy at 0 K (kJ/mol of atoms) = -69
- space-group type = P6/mmm

```
LaB2Pt6
1.0
-3.012 -4.050 -2.589
3.862 -1.400 3.912
-3.888 0.357 3.965
La B Pt
1 2 6
direct
0.000 0.000 0.000
0.333 0.667 0.500
0.667 0.333 0.500
0.500 0.000 0.247
0.500 0.500 0.247
0.000 0.500 0.247
0.500 0.500 0.753
0.000 0.500 0.753
0.500 0.000 0.753
```